1.
Compound: CaTa
Source: Alexandria via LeMat-Bulk
Functional: PBE
Structure: optimized geometry

a = 3.051 Å, b = 4.579 Å, c = 7.582 Å
α = 90.00°, β = 90.00°, γ = 90.00°
Fractional coordinates of all 4 atoms:
Ca: 0.000 0.000 0.083
Ca: 0.500 0.500 0.750
Ta: 0.500 0.000 0.473
Ta: 0.000 0.500 0.360

Computed properties:
As for the polymorph energy (0 for the lowest one): 0.237 eV per atom. The calculation puts the magnetic moment at 0.00 μB/f.u. As for the density of states at the Fermi level: 3.375 states/eV/cell. Its calculated total energy is -6.334 eV/atom.

---

2.
Compound: PuCuI2
Source: Alexandria via LeMat-Bulk
Functional: PBE
Structure: optimized geometry

a = 4.008 Å, b = 4.008 Å, c = 9.709 Å
α = 78.09°, β = 78.09°, γ = 60.00°
Fractional coordinates of all 4 atoms:
I: 0.110 0.110 0.671
I: 0.890 0.890 0.329
Cu: 0.500 0.500 0.500
Pu: 0.000 0.000 0.000

Computed properties:
The calculation puts the magnetic moment at 6.54 μB/f.u. As for the density of states at the Fermi level: 11.729 states/eV/cell. Its calculated total energy is -5.395 eV/atom. For the formation energy without anion corrections, the calculation gives -0.0133 eV per atom.